[1]
{"formula": "Sr2TlBr", "functional": "PBE", "state": "optimized geometry", "volume_a3_per_cell": 568, "e_form_raw_ev_per_atom": -0.70, "relative_energy_ev_per_atom": 0.258, "sg": "No. 225", "lattice_angstrom": [[8.282, 0.000, 0.000], [0.000, 8.282, 0.000], [0.000, 0.000, 8.282]], "species": ["Sr", "Sr", "Sr", "Sr", "Sr", "Sr", "Sr", "Sr", "Tl", "Tl", "Tl", "Tl", "Br", "Br", "Br", "Br"], "frac_coords": [[0.250, 0.250, 0.250], [0.250, 0.250, 0.750], [0.250, 0.750, 0.250], [0.250, 0.750, 0.750], [0.750, 0.250, 0.250], [0.750, 0.250, 0.750], [0.750, 0.750, 0.250], [0.750, 0.750, 0.750], [0.000, 0.000, 0.000], [0.000, 0.500, 0.500], [0.500, 0.000, 0.500], [0.500, 0.500, 0.000], [0.000, 0.000, 0.500], [0.000, 0.500, 0.000], [0.500, 0.000, 0.000], [0.500, 0.500, 0.500]]}

[2]
{"formula": "SrTlBr", "functional": "PBE", "state": "optimized geometry", "volume_a3_per_cell": 453, "e_form_raw_ev_per_atom": -0.64, "relative_energy_ev_per_atom": 0.481, "sg": "No. 216", "lattice_angstrom": [[7.683, 0.000, 0.000], [0.000, 7.683, 0.000], [0.000, 0.000, 7.683]], "species": ["Sr", "Sr", "Sr", "Sr", "Tl", "Tl", "Tl", "Tl", "Br", "Br", "Br", "Br"], "frac_coords": [[0.000, 0.000, 0.000], [0.000, 0.500, 0.500], [0.500, 0.000, 0.500], [0.500, 0.500, 0.000], [0.000, 0.000, 0.500], [0.000, 0.500, 0.000], [0.500, 0.000, 0.000], [0.500, 0.500, 0.500], [0.250, 0.250, 0.750], [0.250, 0.750, 0.250], [0.750, 0.250, 0.250], [0.750, 0.750, 0.750]]}

[3]
{"formula": "SrTlBr3", "functional": "PBE", "state": "optimized geometry", "volume_a3_per_cell": 210, "e_form_raw_ev_per_atom": -0.96, "sg": "No. 221", "lattice_angstrom": [[5.940, 0.000, 0.000], [0.000, 5.940, 0.000], [0.000, 0.000, 5.940]], "species": ["Sr", "Tl", "Br", "Br", "Br"], "frac_coords": [[0.000, 0.000, 0.000], [0.500, 0.500, 0.500], [0.000, 0.500, 0.500], [0.500, 0.000, 0.500], [0.500, 0.500, 0.000]]}

| no. | theoretical density (g cm⁻³) |
| --- | --- |
| 1 | 5.37 |
| 2 | 5.45 |
| 3 | 4.21 |